Entry from Alexandria via LeMat-Bulk: Co2AgPbCl at its PBEsol-relaxed geometry (meta-GGA SCAN).

Cell: 4.1296 4.1296 5.2913 Å, 90.00 90.00 90.00°
Closest atoms and distances in Å follow each position.
Sites, in units of the cell vectors:
1 Co 0.0000 0.5000 0.0000  2 Cl 2.06
2 Co 0.5000 0.0000 0.0000  2 Cl 2.06
3 Ag 0.0000 0.0000 0.5000  2 Cl 2.65, 4 Pb 2.92
4 Cl 0.0000 0.0000 0.0000  4 Co 2.06
5 Pb 0.5000 0.5000 0.5000  4 Ag 2.92

Calculated values
- ΔE_f (raw) (eV/atom) = 0.7052
- uncorrected energy (eV/atom) = -29.242
- ρ (g/cm3) = 8.6

---

Entry from Alexandria via LeMat-Bulk: CoAgSCl2 at its PBEsol-relaxed geometry (meta-GGA SCAN).

Cell: 4.7301 4.7301 4.9534 Å, 90.00 90.00 90.00°
Closest atoms and distances in Å follow each position.
Sites, in units of the cell vectors:
1 Cl 0.0000 0.5000 0.0000  2 Ag 2.37
2 Cl 0.5000 0.0000 0.0000  2 Ag 2.37
3 Co 0.5000 0.5000 0.5000  4 S 3.34, 8 Cl 3.42
4 Ag 0.0000 0.0000 0.0000  4 Cl 2.37, 2 S 2.48
5 S 0.0000 0.0000 0.5000  2 Ag 2.48

Calculated values
- ΔE_f (raw) (eV/atom) = 0.4545
- uncorrected energy (eV/atom) = -14.397
- ρ (g/cm3) = 4.0

---

Entry from Alexandria via LeMat-Bulk: CrGaAgCl2 at its PBEsol-relaxed geometry (meta-GGA SCAN).

Cell: 4.9807 5.0435 5.0435 Å, 90.00 90.00 90.00°
Closest atoms and distances in Å follow each position.
Sites, in units of the cell vectors:
1 Cl 0.0000 0.0000 0.5000  2 Ag 2.52
2 Cl 0.0000 0.5000 0.0000  2 Ag 2.52
3 Cr 0.5000 0.5000 0.5000  8 Cl 3.54, 4 Ga 3.57
4 Ga 0.5000 0.0000 0.0000  2 Ag 2.49
5 Ag 0.0000 0.0000 0.0000  2 Ga 2.49, 4 Cl 2.52

Calculated values
- ΔE_f (raw) (eV/atom) = 0.1881
- uncorrected energy (eV/atom) = -16.223
- ρ (g/cm3) = 3.9

---

Entry from Alexandria via LeMat-Bulk: MgCrAgCl2 at its PBEsol-relaxed geometry (meta-GGA SCAN).

Cell: 4.5827 4.5827 5.6366 Å, 90.00 90.00 90.00°
Closest atoms and distances in Å follow each position.
Sites, in units of the cell vectors:
1 Ag 0.0000 0.0000 0.5000  2 Cr 2.82
2 Cr 0.0000 0.0000 0.0000  4 Cl 2.29
3 Cl 0.0000 0.5000 0.0000  2 Cr 2.29
4 Cl 0.5000 0.0000 0.0000  2 Cr 2.29
5 Mg 0.5000 0.5000 0.5000  4 Ag 3.24

Calculated values
- ΔE_f (raw) (eV/atom) = -0.3475
- uncorrected energy (eV/atom) = -14.484
- ρ (g/cm3) = 3.6

---

> What is the uncorrected energy in the fourth record?

-14.484 eV/atom

---

> Look up the ΔE_f (raw) of the first one.

0.7052 eV/atom

---

> Which of these has the highest uncorrected energy?

CoAgSCl2

---

> Which formula does entry 2 have?

CoAgSCl2